! PBE Sc2TiPt, relaxed; values from VASP
&SYSTEM
  ibrav = 0, nat = 4, ntyp = 3
/
ATOMIC_SPECIES
Ti 47.87 Ti.upf
Sc 44.96 Sc.upf
Pt 195.08 Pt.upf
CELL_PARAMETERS angstrom
-2.111 2.821 0.035
-1.673 -1.201 -4.134
-3.298 -2.493 2.059
ATOMIC_POSITIONS angstrom
Ti -3.541 -0.436 -1.020
Sc -0.837 -0.601 -2.067
Sc -1.649 -1.246 1.030
Pt -1.055 1.410 0.017
! DOS(E_F) in states/eV/cell: 4.8
! Space group: P4/mmm (123)
! Total moment in μB per cell: 1.96
! VASP energy in eV per atom: -7.193